Entry from the Alexandria database: MnPd2Se4 after structural relaxation (PBE).

Energy relative to the elements, uncorrected = -0.321 eV/atom
N(E_F) = 0.63 states/eV/atom

POSCAR file:
```
MnPd2Se4
1.0
-0.016 3.453 1.570
-5.375 -1.563 3.386
5.936 -2.755 1.536
Se Mn Pd
4 1 2
Cartesian
3.430 0.565 3.374
-2.884 -1.430 3.117
-0.015 1.012 2.358
0.561 -1.876 4.134
0.000 0.000 0.000
-1.305 0.048 4.464
1.851 -0.913 2.027
```

***

Entry from the Alexandria database: MnSnPd2Se after structural relaxation (PBE).

Energy relative to the elements, uncorrected = 0.223 eV/atom
N(E_F) = 0.31 states/eV/atom

POSCAR file:
```
MnSnPd2Se
1.0
4.878 0.000 0.000
0.000 4.541 0.000
0.000 0.000 4.878
Pd Mn Sn Se
2 1 1 1
Cartesian
0.000 0.000 2.439
2.439 0.000 0.000
0.000 0.000 0.000
2.439 2.270 2.439
0.000 2.270 0.000
```

***

Entry from the Alexandria database: SrMn2PdSe after structural relaxation (PBE).

Energy relative to the elements, uncorrected = 0.107 eV/atom
N(E_F) = 0.69 states/eV/atom

POSCAR file:
```
SrMn2PdSe
1.0
-4.455 1.020 -1.652
0.025 -4.591 -2.903
-1.942 -2.388 3.761
Sr Mn Pd Se
1 2 1 1
Cartesian
-3.186 -2.980 -0.397
-2.227 0.510 -0.826
-0.971 -1.194 1.880
0.000 0.000 0.000
0.013 -2.296 -1.451
```

***

Entry from the Alexandria database: TaMnPdSe2 after structural relaxation (PBE).

Energy relative to the elements, uncorrected = 0.708 eV/atom
N(E_F) = 1.02 states/eV/atom

POSCAR file:
```
TaMnPdSe2
1.0
4.582 0.000 0.000
0.000 4.711 0.000
0.000 0.000 4.582
Pd Ta Mn Se
1 1 1 2
Cartesian
0.000 2.356 0.000
2.291 2.356 2.291
0.000 0.000 0.000
0.000 0.000 2.291
2.291 0.000 0.000
```

***

Entry from the Alexandria database: Mn2Tl3PdSe6 after structural relaxation (PBE).

Energy relative to the elements, uncorrected = -0.372 eV/atom
N(E_F) = 0.62 states/eV/atom

POSCAR file:
```
Mn2Tl3PdSe6
1.0
-2.369 5.021 -3.630
2.639 -5.300 -2.992
-6.814 -3.182 2.016
Se Tl Mn Pd
6 3 2 1
Cartesian
-5.511 -2.686 -0.184
-0.328 -2.382 -1.046
-2.018 1.101 -1.262
-1.033 -0.775 -4.422
-4.526 -4.561 -3.344
-6.216 -1.078 -3.559
-3.272 -1.730 -2.303
-4.944 1.716 -2.516
-1.600 -5.177 -2.090
0.973 -1.867 -3.204
-0.703 1.588 -3.418
0.000 0.000 0.000
```

***

Entry from the Alexandria database: MnTl2PdSe4 after structural relaxation (PBE).

Energy relative to the elements, uncorrected = -0.323 eV/atom
N(E_F) = 0.48 states/eV/atom

POSCAR file:
```
MnTl2PdSe4
1.0
-5.037 -2.572 -0.826
-2.681 -3.054 6.086
-7.845 8.348 2.075
Mn Se Tl Pd
2 8 4 2
Cartesian
-2.518 -1.286 -0.413
-6.522 2.004 3.874
-13.496 2.662 5.943
-4.296 -1.077 1.027
-8.233 2.936 2.657
-7.040 -0.065 4.726
-4.745 1.795 2.434
-11.108 0.780 4.854
-8.652 6.131 2.879
-4.682 -2.270 4.821
-11.054 4.360 4.401
-7.027 -2.923 2.521
-5.832 4.707 1.135
-7.050 1.070 0.115
0.000 0.000 0.000
-9.041 0.719 3.461
```

***

Entry from the Alexandria database: MnZnPdSe2 after structural relaxation (PBE).

Energy relative to the elements, uncorrected = 0.351 eV/atom
N(E_F) = 0.82 states/eV/atom

POSCAR file:
```
MnZnPdSe2
1.0
-0.330 4.202 -2.032
-4.743 0.295 1.379
1.292 2.040 4.008
Se Mn Pd Zn
2 1 1 1
Cartesian
-0.165 2.101 -1.016
0.646 1.020 2.004
0.000 0.000 0.000
-2.371 0.147 0.690
-1.890 3.268 1.677
```

***

Entry from the Alexandria database: ZrMn2PdSe after structural relaxation (PBE).

Energy relative to the elements, uncorrected = 0.989 eV/atom
N(E_F) = 0.79 states/eV/atom

POSCAR file:
```
ZrMn2PdSe
1.0
-3.206 3.086 -1.988
-1.585 -3.613 -3.053
-3.328 -1.330 3.302
Pd Mn Zr Se
1 2 1 1
Cartesian
-4.059 -0.929 -0.869
-1.664 -0.665 1.651
-1.603 1.543 -0.994
0.000 0.000 0.000
-0.792 -1.806 -1.527
```

***

Entry from the Alexandria database: Mn6SiPd12 after structural relaxation (PBE).

Energy relative to the elements, uncorrected = 0.114 eV/atom
N(E_F) = 0.85 states/eV/atom

POSCAR file:
```
Mn6SiPd12
1.0
6.570 0.007 0.008
-0.989 6.495 0.008
-0.989 -1.152 6.392
Pd Mn Si
12 6 1
Cartesian
1.834 -0.003 2.223
2.758 5.353 4.187
4.738 5.320 2.117
0.052 4.248 0.630
2.708 3.205 6.015
0.401 4.855 5.613
-0.281 1.863 2.181
-0.146 0.030 4.292
4.540 1.102 5.780
4.191 0.495 0.797
4.873 3.487 4.229
1.884 2.145 0.394
3.883 1.301 3.259
2.351 4.289 1.862
3.895 2.865 1.856
0.697 2.485 4.553
2.242 1.061 4.547
0.709 4.049 3.151
0.000 0.000 0.000
```

***

Entry from the Alexandria database: MnSiPd3 after structural relaxation (PBE).

Energy relative to the elements, uncorrected = 0.602 eV/atom
N(E_F) = 2.33 states/eV/atom

POSCAR file:
```
MnSiPd3
1.0
-1.789 4.074 0.333
-1.585 -1.027 4.043
3.768 1.503 1.859
Mn Pd Si
1 3 1
Cartesian
0.197 2.275 3.117
-0.792 -0.513 2.021
1.884 0.751 0.929
-0.895 2.037 0.167
0.000 0.000 0.000
```

***

Entry from the Alexandria database: Mn2SiPd5 after structural relaxation (PBE).

Energy relative to the elements, uncorrected = -0.413 eV/atom
N(E_F) = 0.36 states/eV/atom

POSCAR file:
```
Mn2SiPd5
1.0
4.097 0.000 0.000
0.000 5.469 0.000
0.000 0.000 10.554
Pd Si Mn
10 2 4
Cartesian
2.048 4.482 4.198
0.000 0.425 2.800
2.048 0.987 6.356
0.000 5.044 7.755
0.000 2.735 5.277
0.000 3.159 2.478
0.000 2.310 8.077
2.048 1.747 1.079
2.048 3.722 9.476
0.000 0.000 0.000
0.000 2.735 0.000
0.000 0.000 5.277
2.048 1.803 3.782
2.048 4.537 1.495
2.048 0.932 9.059
2.048 3.667 6.772
```

***

Entry from the Alexandria database: Mn2Si2Pd after structural relaxation (PBE).

Energy relative to the elements, uncorrected = -0.238 eV/atom
N(E_F) = 1.40 states/eV/atom

POSCAR file:
```
Mn2Si2Pd
1.0
6.684 0.000 0.000
0.000 6.684 0.000
0.000 0.000 2.752
Mn Si Pd
4 4 2
Cartesian
4.353 5.674 1.376
5.674 2.331 1.376
2.331 1.011 1.376
1.011 4.353 1.376
0.953 2.389 0.000
2.389 5.732 0.000
4.295 0.953 0.000
5.732 4.295 0.000
3.342 3.342 0.000
0.000 0.000 0.000
```

***

Entry from the Alexandria database: MnSiPd4 after structural relaxation (PBE).

Energy relative to the elements, uncorrected = -0.366 eV/atom
N(E_F) = 0.49 states/eV/atom

POSCAR file:
```
MnSiPd4
1.0
-1.706 -2.181 4.169
-2.908 -1.090 -3.924
9.224 -2.665 -1.728
Pd Mn Si
8 2 2
Cartesian
3.769 -3.701 2.300
6.023 -4.080 -2.620
1.747 -3.052 0.505
6.412 -4.437 1.808
2.863 -2.884 -1.990
0.841 -2.234 -3.784
-1.413 -1.855 1.135
-1.802 -1.499 -3.292
-0.145 -2.171 -1.281
4.755 -3.765 -0.203
4.186 -3.249 -4.035
0.424 -2.687 2.551
```

***

Entry from the Alexandria database: MnSi2Pd6 after structural relaxation (PBE).

Energy relative to the elements, uncorrected = -0.428 eV/atom
N(E_F) = 0.42 states/eV/atom

POSCAR file:
```
MnSi2Pd6
1.0
0.796 -1.388 6.699
1.835 -6.317 -1.527
6.206 0.607 4.948
Pd Si Mn
12 4 2
Cartesian
2.339 -3.374 5.108
7.977 -5.537 9.030
6.374 -1.405 8.781
2.463 -5.693 1.339
4.308 -6.497 5.458
3.214 -2.188 2.674
6.498 -3.724 5.012
0.859 -1.562 1.090
5.623 -4.910 7.446
4.346 -4.696 3.315
4.529 -0.602 4.661
4.491 -2.402 6.805
6.753 -6.236 5.455
5.533 -2.428 3.170
3.303 -4.671 6.950
2.084 -0.863 4.665
3.103 0.303 2.474
1.315 -3.853 2.586
```

***

Entry from the Alexandria database: MnSiPd6 after structural relaxation (PBE).

Energy relative to the elements, uncorrected = -0.290 eV/atom
N(E_F) = 0.43 states/eV/atom

POSCAR file:
```
MnSiPd6
1.0
-2.680 -0.948 6.095
3.933 -3.760 3.838
1.866 0.737 4.603
Pd Si Mn
6 1 1
Cartesian
0.394 -1.042 4.782
-0.397 -0.356 8.420
3.517 -3.614 6.116
2.379 -2.187 3.161
2.726 -2.929 9.754
0.741 -1.784 11.375
0.000 0.000 0.000
1.560 -1.985 7.268
```

***

Entry from the Alexandria database: MnSi2Pd after structural relaxation (PBE).

Energy relative to the elements, uncorrected = 0.127 eV/atom
N(E_F) = 0.61 states/eV/atom

POSCAR file:
```
MnSi2Pd
1.0
-1.150 -4.445 4.981
1.267 -5.108 -4.265
2.636 -4.695 1.026
Pd Si Mn
2 4 2
Cartesian
0.000 0.000 0.000
0.772 -6.958 3.183
1.315 -4.893 -1.819
2.012 -7.070 1.066
2.087 -11.914 1.368
0.091 -4.619 2.869
0.058 -4.777 0.358
1.981 -7.290 -1.441
```

***

Entry from the Alexandria database: MnSiPd3 after structural relaxation (PBE).

Energy relative to the elements, uncorrected = 1.059 eV/atom
N(E_F) = 1.44 states/eV/atom

POSCAR file:
```
MnSiPd3
1.0
-4.334 0.694 1.152
0.923 -1.292 4.251
0.978 4.295 1.093
Pd Mn Si
3 1 1
Cartesian
0.461 -0.646 2.126
-2.167 0.347 0.576
0.489 2.147 0.546
0.000 0.000 0.000
-1.216 1.848 3.248
```

***

Entry from the Alexandria database: MnSi2Pd after structural relaxation (PBE).

Energy relative to the elements, uncorrected = -0.177 eV/atom
N(E_F) = 0.60 states/eV/atom

POSCAR file:
```
MnSi2Pd
1.0
-2.035 -3.521 -0.940
0.649 -3.451 2.256
-2.989 -1.424 2.541
Si Pd Mn
2 1 1
Cartesian
-1.094 -2.099 0.964
-3.282 -6.297 2.893
-2.188 -4.198 1.929
0.000 0.000 0.000
```

***

Entry from the Alexandria database: Sm2MnSiPd6 after structural relaxation (PBE).

Energy relative to the elements, uncorrected = -0.577 eV/atom
N(E_F) = 0.48 states/eV/atom

POSCAR file:
```
Sm2MnSiPd6
1.0
-4.331 1.726 -2.934
-3.282 -8.013 0.105
-5.803 -2.489 1.918
Si Sm Pd Mn
1 2 6 1
Cartesian
-3.806 -3.144 -1.415
-6.987 -1.940 -1.180
-6.428 -6.837 0.269
-9.150 -7.274 -1.138
-7.544 -4.201 0.875
-9.693 -3.345 -0.590
-4.265 -1.502 0.226
-3.722 -5.432 -0.322
-5.871 -4.576 -1.786
0.000 0.000 0.000
```

***

Entry from the Alexandria database: Sr2MnSiPd6 after structural relaxation (PBE).

Energy relative to the elements, uncorrected = -0.323 eV/atom
N(E_F) = 0.54 states/eV/atom

POSCAR file:
```
Sr2MnSiPd6
1.0
-2.877 4.184 4.410
2.198 -3.836 5.071
3.669 2.726 4.938
Sr Si Pd Mn
2 1 6 1
Cartesian
0.226 3.542 7.045
2.764 -0.467 7.375
-0.339 0.174 4.741
1.595 1.406 4.837
0.886 -1.763 4.901
1.394 1.669 9.583
3.493 2.815 7.389
-0.503 0.260 7.031
-1.565 2.111 4.580
0.000 0.000 0.000
```

***

Which E_tot belongs to each record? In order, -5.106, -5.186, -5.632, -5.928, -4.667, -4.452, -4.170, -6.124, -6.347, -5.433, -6.629, -7.114, -6.260, -6.114, -6.009, -6.176, -4.975, -6.480, -6.096, -5.234 eV/atom.